Here is a relaxed structure of Tm8Al2Rh from Alexandria via LeMat-Bulk. Energies are from GGA-PBE.

It has space group C2/m (No. 12), with a = 17.3832 Å, b = 5.1363 Å, c = 6.7844 Å, α = 90.00°, β = 111.29° and γ = 90.00°. The asymmetric unit holds Tm at (0.0168, 0.0000, 0.2787), Tm at (0.0953, 0.5000, 0.9277), Tm at (0.1506, 0.5000, 0.4428), Tm at (0.2011, 0.0000, 0.7822), Al at (0.1792, 0.0000, 0.2012) and Rh at (0.0000, 0.5000, 0.5000).

The formation energy is -304.1 meV/atom. For the calculated total energy, the calculation gives -107.91 eV for the cell shown. For the density, the calculation gives 8875 kg/m3.

---

Here is a relaxed structure of TmAl3Rh4 from Alexandria via LeMat-Bulk. Energies are from GGA-PBE.

It has space group R-3m (No. 166, hexagonal axes), with a = 4.3689 Å, b = 4.3689 Å, c = 21.7540 Å, α = 90.00°, β = 90.00° and γ = 120.00°. The asymmetric unit holds Tm at (0.0000, 0.0000, 0.0000), Al at (0.0000, 0.0000, 0.2465), Al at (0.0000, 0.0000, 0.5000), Rh at (0.0000, 0.0000, 0.1292) and Rh at (0.0000, 0.0000, 0.3837).

The formation energy is -1025.8 meV/atom. For the calculated total energy, the calculation gives -159.93 eV for the cell shown. For the density, the calculation gives 9164 kg/m3.